DFT (PBE-GGA) results for Nd6TlHg8 after structural relaxation.

```
data_Nd6TlHg8
_cell_length_a 9.0395
_cell_length_b 9.0395
_cell_length_c 19.2195
_cell_angle_alpha 90.00
_cell_angle_beta 90.00
_cell_angle_gamma 120.00
_symmetry_space_group_name_H-M 'R -3'
_symmetry_Int_Tables_number 148
_symmetry_space_group_name_Hall '-R 3'
loop_
_atom_site_label
_atom_site_type_symbol
_atom_site_fract_x
_atom_site_fract_y
_atom_site_fract_z
_atom_site_occupancy
Nd1 Nd 0.0128 0.2865 0.0998 1
Tl1 Tl 0.0000 0.0000 0.5000 1
Hg1 Hg 0.0000 0.0000 0.2021 1
Hg2 Hg 0.0073 0.3827 0.9425 1
```

Output
M_tot: 0.0 μB per formula unit
Formation energy: -0.33 eV/atom
V: 453.4 Å³/f.u.